# TaNiHRh2 PBE relaxed
# - relative energy among the computed polymorphs (eV/atom) = 0.127
data_TaNiHRh2
_cell_length_a 3.871
_cell_length_b 3.871
_cell_length_c 3.975
_cell_angle_alpha 90.00
_cell_angle_beta 90.00
_cell_angle_gamma 90.00
_symmetry_space_group_name_H-M 'P 1'
_symmetry_Int_Tables_number 1
loop_
_symmetry_equiv_pos_as_xyz
'x,y,z'
loop_
_atom_site_label
_atom_site_fract_x
_atom_site_fract_y
_atom_site_fract_z
Rh1 0.500 0.000 0.000
Rh2 0.000 0.500 0.000
Ni1 0.500 0.500 0.500
Ta1 0.000 0.000 0.500
H1 0.000 0.000 0.000



# TaNi2HRh PBE relaxed
# - relative energy among the computed polymorphs (eV/atom) = 0.037
data_TaNi2HRh
_cell_length_a 3.810
_cell_length_b 3.810
_cell_length_c 3.829
_cell_angle_alpha 90.00
_cell_angle_beta 90.00
_cell_angle_gamma 90.00
_symmetry_space_group_name_H-M 'P 1'
_symmetry_Int_Tables_number 1
loop_
_symmetry_equiv_pos_as_xyz
'x,y,z'
loop_
_atom_site_label
_atom_site_fract_x
_atom_site_fract_y
_atom_site_fract_z
H1 0.000 0.000 0.000
Ni1 0.500 0.000 0.000
Ni2 0.000 0.500 0.000
Rh1 0.000 0.000 0.500
Ta1 0.500 0.500 0.500



# TaNiHRh2 PBE relaxed
# - relative energy among the computed polymorphs (eV/atom) = 0.000
data_TaNiHRh2
_cell_length_a 3.963
_cell_length_b 3.963
_cell_length_c 3.734
_cell_angle_alpha 90.00
_cell_angle_beta 90.00
_cell_angle_gamma 90.00
_symmetry_space_group_name_H-M 'P 1'
_symmetry_Int_Tables_number 1
loop_
_symmetry_equiv_pos_as_xyz
'x,y,z'
loop_
_atom_site_label
_atom_site_fract_x
_atom_site_fract_y
_atom_site_fract_z
Ni1 0.000 0.000 0.500
Ta1 0.500 0.500 0.500
H1 0.000 0.000 0.000
Rh1 0.500 0.000 0.000
Rh2 0.000 0.500 0.000



# ThNi2H8Rh PBE relaxed
# - E_tot (eV/atom) = -4.6618
data_ThNi2H8Rh
_cell_length_a 4.535
_cell_length_b 4.535
_cell_length_c 6.044
_cell_angle_alpha 67.97
_cell_angle_beta 67.97
_cell_angle_gamma 60.00
_symmetry_space_group_name_H-M 'P 1'
_symmetry_Int_Tables_number 1
loop_
_symmetry_equiv_pos_as_xyz
'x,y,z'
loop_
_atom_site_label
_atom_site_fract_x
_atom_site_fract_y
_atom_site_fract_z
H1 0.821 0.821 0.536
H2 0.710 0.081 0.843
H3 0.081 0.366 0.843
H4 0.634 0.290 0.157
H5 0.366 0.710 0.843
H6 0.290 0.919 0.157
H7 0.919 0.634 0.157
H8 0.179 0.179 0.464
Th1 0.500 0.500 0.500
Ni1 0.726 0.726 0.822
Ni2 0.274 0.274 0.178
Rh1 0.000 0.000 0.000



# Ti2NiHRh PBE relaxed
# - relative energy among the computed polymorphs (eV/atom) = 0.000
data_Ti2NiHRh
_cell_length_a 4.051
_cell_length_b 4.051
_cell_length_c 3.584
_cell_angle_alpha 90.00
_cell_angle_beta 90.00
_cell_angle_gamma 90.00
_symmetry_space_group_name_H-M 'P 1'
_symmetry_Int_Tables_number 1
loop_
_symmetry_equiv_pos_as_xyz
'x,y,z'
loop_
_atom_site_label
_atom_site_fract_x
_atom_site_fract_y
_atom_site_fract_z
Ti1 0.000 0.500 0.000
Ti2 0.500 0.000 0.000
H1 0.000 0.000 0.000
Ni1 0.000 0.000 0.500
Rh1 0.500 0.500 0.500



# TiNi2HRh PBE relaxed
# - relative energy among the computed polymorphs (eV/atom) = 0.019
data_TiNi2HRh
_cell_length_a 3.624
_cell_length_b 3.624
_cell_length_c 4.024
_cell_angle_alpha 90.00
_cell_angle_beta 90.00
_cell_angle_gamma 90.00
_symmetry_space_group_name_H-M 'P 1'
_symmetry_Int_Tables_number 1
loop_
_symmetry_equiv_pos_as_xyz
'x,y,z'
loop_
_atom_site_label
_atom_site_fract_x
_atom_site_fract_y
_atom_site_fract_z
Ni1 0.000 0.500 0.000
Ni2 0.500 0.000 0.000
Ti1 0.000 0.000 0.500
H1 0.000 0.000 0.000
Rh1 0.500 0.500 0.500



# TiNi2HRh PBE relaxed
# - relative energy among the computed polymorphs (eV/atom) = 0.000
data_TiNi2HRh
_cell_length_a 3.678
_cell_length_b 3.678
_cell_length_c 3.916
_cell_angle_alpha 90.00
_cell_angle_beta 90.00
_cell_angle_gamma 90.00
_symmetry_space_group_name_H-M 'P 1'
_symmetry_Int_Tables_number 1
loop_
_symmetry_equiv_pos_as_xyz
'x,y,z'
loop_
_atom_site_label
_atom_site_fract_x
_atom_site_fract_y
_atom_site_fract_z
Ni1 0.000 0.500 0.000
Ni2 0.500 0.000 0.000
H1 0.000 0.000 0.000
Rh1 0.000 0.000 0.500
Ti1 0.500 0.500 0.500



# Ti2NiHRh PBE relaxed
# - relative energy among the computed polymorphs (eV/atom) = 0.071
data_Ti2NiHRh
_cell_length_a 4.005
_cell_length_b 3.721
_cell_length_c 4.005
_cell_angle_alpha 90.00
_cell_angle_beta 90.00
_cell_angle_gamma 90.00
_symmetry_space_group_name_H-M 'P 1'
_symmetry_Int_Tables_number 1
loop_
_symmetry_equiv_pos_as_xyz
'x,y,z'
loop_
_atom_site_label
_atom_site_fract_x
_atom_site_fract_y
_atom_site_fract_z
Ti1 0.000 0.000 0.500
Ti2 0.500 0.000 0.000
Ni1 0.500 0.500 0.500
Rh1 0.000 0.500 0.000
H1 0.000 0.000 0.000



# TlNiH6Rh PBE relaxed
# - E_tot (eV/atom) = -3.8610
data_TlNiH6Rh
_cell_length_a 4.586
_cell_length_b 4.586
_cell_length_c 5.463
_cell_angle_alpha 89.99
_cell_angle_beta 89.99
_cell_angle_gamma 60.00
_symmetry_space_group_name_H-M 'P 1'
_symmetry_Int_Tables_number 1
loop_
_symmetry_equiv_pos_as_xyz
'x,y,z'
loop_
_atom_site_label
_atom_site_fract_x
_atom_site_fract_y
_atom_site_fract_z
H1 0.636 0.987 0.342
H2 0.987 0.376 0.342
H3 0.987 0.636 0.658
H4 0.376 0.637 0.342
H5 0.636 0.376 0.658
H6 0.376 0.987 0.658
Ni1 0.667 0.667 0.500
Tl1 0.000 0.000 0.000
Rh1 0.333 0.333 0.500



# UNiH6Rh PBE relaxed
# - E_tot (eV/atom) = -5.1334
data_UNiH6Rh
_cell_length_a 4.523
_cell_length_b 4.523
_cell_length_c 4.122
_cell_angle_alpha 90.00
_cell_angle_beta 90.00
_cell_angle_gamma 60.00
_symmetry_space_group_name_H-M 'P 1'
_symmetry_Int_Tables_number 1
loop_
_symmetry_equiv_pos_as_xyz
'x,y,z'
loop_
_atom_site_label
_atom_site_fract_x
_atom_site_fract_y
_atom_site_fract_z
Rh1 0.333 0.333 0.500
Ni1 0.667 0.667 0.500
H1 0.507 0.507 0.230
H2 0.507 0.986 0.230
H3 0.986 0.507 0.230
H4 0.507 0.986 0.770
H5 0.507 0.507 0.770
H6 0.986 0.507 0.770
U1 0.000 0.000 0.000



# VNiHRh2 PBE relaxed
# - relative energy among the computed polymorphs (eV/atom) = 0.000
data_VNiHRh2
_cell_length_a 3.887
_cell_length_b 3.887
_cell_length_c 3.631
_cell_angle_alpha 90.00
_cell_angle_beta 90.00
_cell_angle_gamma 90.00
_symmetry_space_group_name_H-M 'P 1'
_symmetry_Int_Tables_number 1
loop_
_symmetry_equiv_pos_as_xyz
'x,y,z'
loop_
_atom_site_label
_atom_site_fract_x
_atom_site_fract_y
_atom_site_fract_z
V1 0.500 0.500 0.500
Rh1 0.000 0.500 0.000
Rh2 0.500 0.000 0.000
H1 0.000 0.000 0.000
Ni1 0.000 0.000 0.500



# VNiHRh2 PBE relaxed
# - relative energy among the computed polymorphs (eV/atom) = 0.050
data_VNiHRh2
_cell_length_a 3.833
_cell_length_b 3.833
_cell_length_c 3.776
_cell_angle_alpha 90.00
_cell_angle_beta 90.00
_cell_angle_gamma 90.00
_symmetry_space_group_name_H-M 'P 1'
_symmetry_Int_Tables_number 1
loop_
_symmetry_equiv_pos_as_xyz
'x,y,z'
loop_
_atom_site_label
_atom_site_fract_x
_atom_site_fract_y
_atom_site_fract_z
H1 0.000 0.000 0.000
Rh1 0.500 0.000 0.000
Rh2 0.000 0.500 0.000
V1 0.000 0.000 0.500
Ni1 0.500 0.500 0.500



# NiHRhW2 PBE relaxed
# - relative energy among the computed polymorphs (eV/atom) = 0.000
data_NiHRhW2
_cell_length_a 3.934
_cell_length_b 3.934
_cell_length_c 3.851
_cell_angle_alpha 90.00
_cell_angle_beta 90.00
_cell_angle_gamma 90.00
_symmetry_space_group_name_H-M 'P 1'
_symmetry_Int_Tables_number 1
loop_
_symmetry_equiv_pos_as_xyz
'x,y,z'
loop_
_atom_site_label
_atom_site_fract_x
_atom_site_fract_y
_atom_site_fract_z
W1 0.500 0.000 0.000
W2 0.000 0.500 0.000
Rh1 0.500 0.500 0.500
H1 0.000 0.000 0.000
Ni1 0.000 0.000 0.500



# Ni2HRhW PBE relaxed
# - relative energy among the computed polymorphs (eV/atom) = 0.000
data_Ni2HRhW
_cell_length_a 3.692
_cell_length_b 3.692
_cell_length_c 3.890
_cell_angle_alpha 90.00
_cell_angle_beta 90.00
_cell_angle_gamma 90.00
_symmetry_space_group_name_H-M 'P 1'
_symmetry_Int_Tables_number 1
loop_
_symmetry_equiv_pos_as_xyz
'x,y,z'
loop_
_atom_site_label
_atom_site_fract_x
_atom_site_fract_y
_atom_site_fract_z
Ni1 0.500 0.000 0.000
Ni2 0.000 0.500 0.000
H1 0.000 0.000 0.000
W1 0.000 0.000 0.500
Rh1 0.500 0.500 0.500



# NiHRhW2 PBE relaxed
# - relative energy among the computed polymorphs (eV/atom) = 0.041
data_NiHRhW2
_cell_length_a 3.930
_cell_length_b 3.930
_cell_length_c 3.884
_cell_angle_alpha 90.00
_cell_angle_beta 90.00
_cell_angle_gamma 90.00
_symmetry_space_group_name_H-M 'P 1'
_symmetry_Int_Tables_number 1
loop_
_symmetry_equiv_pos_as_xyz
'x,y,z'
loop_
_atom_site_label
_atom_site_fract_x
_atom_site_fract_y
_atom_site_fract_z
W1 0.500 0.000 0.000
W2 0.000 0.500 0.000
H1 0.000 0.000 0.000
Rh1 0.000 0.000 0.500
Ni1 0.500 0.500 0.500



# Ni2HRhW PBE relaxed
# - relative energy among the computed polymorphs (eV/atom) = 0.045
data_Ni2HRhW
_cell_length_a 3.800
_cell_length_b 3.753
_cell_length_c 3.800
_cell_angle_alpha 90.00
_cell_angle_beta 90.00
_cell_angle_gamma 90.00
_symmetry_space_group_name_H-M 'P 1'
_symmetry_Int_Tables_number 1
loop_
_symmetry_equiv_pos_as_xyz
'x,y,z'
loop_
_atom_site_label
_atom_site_fract_x
_atom_site_fract_y
_atom_site_fract_z
W1 0.500 0.500 0.500
Ni1 0.000 0.000 0.500
Ni2 0.500 0.000 0.000
Rh1 0.000 0.500 0.000
H1 0.000 0.000 0.000



# Y2NiHRh PBE relaxed
# - relative energy among the computed polymorphs (eV/atom) = 0.000
data_Y2NiHRh
_cell_length_a 4.856
_cell_length_b 4.856
_cell_length_c 3.476
_cell_angle_alpha 90.00
_cell_angle_beta 90.00
_cell_angle_gamma 90.00
_symmetry_space_group_name_H-M 'P 1'
_symmetry_Int_Tables_number 1
loop_
_symmetry_equiv_pos_as_xyz
'x,y,z'
loop_
_atom_site_label
_atom_site_fract_x
_atom_site_fract_y
_atom_site_fract_z
H1 0.000 0.000 0.000
Rh1 0.500 0.500 0.500
Y1 0.000 0.500 0.000
Y2 0.500 0.000 0.000
Ni1 0.000 0.000 0.500



# Y2NiHRh PBE relaxed
# - relative energy among the computed polymorphs (eV/atom) = 0.054
data_Y2NiHRh
_cell_length_a 4.898
_cell_length_b 4.898
_cell_length_c 3.520
_cell_angle_alpha 90.00
_cell_angle_beta 90.00
_cell_angle_gamma 90.00
_symmetry_space_group_name_H-M 'P 1'
_symmetry_Int_Tables_number 1
loop_
_symmetry_equiv_pos_as_xyz
'x,y,z'
loop_
_atom_site_label
_atom_site_fract_x
_atom_site_fract_y
_atom_site_fract_z
Ni1 0.500 0.500 0.500
Y1 0.000 0.500 0.000
Y2 0.500 0.000 0.000
Rh1 0.000 0.000 0.500
H1 0.000 0.000 0.000



# Y2NiHRh6 PBE relaxed
# - E_tot (eV/atom) = -6.9775
data_Y2NiHRh6
_cell_length_a 5.534
_cell_length_b 6.745
_cell_length_c 5.531
_cell_angle_alpha 65.79
_cell_angle_beta 59.99
_cell_angle_gamma 90.01
_symmetry_space_group_name_H-M 'P 1'
_symmetry_Int_Tables_number 1
loop_
_symmetry_equiv_pos_as_xyz
'x,y,z'
loop_
_atom_site_label
_atom_site_fract_x
_atom_site_fract_y
_atom_site_fract_z
Rh1 0.286 0.823 0.945
Rh2 0.769 0.821 0.462
Rh3 0.769 0.823 0.946
Rh4 0.231 0.179 0.538
Rh5 0.231 0.177 0.054
Rh6 0.714 0.177 0.055
Ni1 0.500 0.500 0.000
Y1 0.214 0.643 0.571
Y2 0.786 0.357 0.429
H1 0.000 0.000 0.000



# Y2Ni6HRh PBE relaxed
# - E_tot (eV/atom) = -6.0032
data_Y2Ni6HRh
_cell_length_a 5.875
_cell_length_b 5.879
_cell_length_c 5.882
_cell_angle_alpha 59.96
_cell_angle_beta 59.99
_cell_angle_gamma 89.95
_symmetry_space_group_name_H-M 'P 1'
_symmetry_Int_Tables_number 1
loop_
_symmetry_equiv_pos_as_xyz
'x,y,z'
loop_
_atom_site_label
_atom_site_fract_x
_atom_site_fract_y
_atom_site_fract_z
Ni1 0.212 0.788 0.000
Ni2 0.212 0.212 0.576
Ni3 0.788 0.788 0.000
Ni4 0.212 0.212 0.000
Ni5 0.788 0.788 0.424
Ni6 0.788 0.212 0.000
Y1 0.750 0.250 0.500
Y2 0.250 0.750 0.500
H1 0.000 0.000 0.000
Rh1 0.500 0.500 0.000



# YNiHRh2 PBE relaxed
# - E_tot (eV/atom) = -6.4708
data_YNiHRh2
_cell_length_a 4.081
_cell_length_b 4.081
_cell_length_c 3.959
_cell_angle_alpha 90.00
_cell_angle_beta 90.00
_cell_angle_gamma 90.00
_symmetry_space_group_name_H-M 'P 1'
_symmetry_Int_Tables_number 1
loop_
_symmetry_equiv_pos_as_xyz
'x,y,z'
loop_
_atom_site_label
_atom_site_fract_x
_atom_site_fract_y
_atom_site_fract_z
Rh1 0.500 0.000 0.000
Rh2 0.000 0.500 0.000
H1 0.000 0.000 0.000
Ni1 0.000 0.000 0.500
Y1 0.500 0.500 0.500



# Zn2NiH6Rh PBE relaxed
# - E_tot (eV/atom) = -3.5997
data_Zn2NiH6Rh
_cell_length_a 5.133
_cell_length_b 4.447
_cell_length_c 5.293
_cell_angle_alpha 123.72
_cell_angle_beta 119.68
_cell_angle_gamma 88.96
_symmetry_space_group_name_H-M 'P 1'
_symmetry_Int_Tables_number 1
loop_
_symmetry_equiv_pos_as_xyz
'x,y,z'
loop_
_atom_site_label
_atom_site_fract_x
_atom_site_fract_y
_atom_site_fract_z
H1 0.635 0.979 0.368
H2 0.625 0.522 0.401
H3 0.165 0.719 0.933
H4 0.518 0.058 0.773
H5 0.566 0.540 0.749
H6 0.177 0.167 0.928
Ni1 0.358 0.183 0.291
Rh1 0.471 0.464 0.982
Zn1 0.887 0.213 0.325
Zn2 0.097 0.660 0.249



# ZnNiH2Rh PBE relaxed
# - E_tot (eV/atom) = -4.3737
data_ZnNiH2Rh
_cell_length_a 3.001
_cell_length_b 3.001
_cell_length_c 5.398
_cell_angle_alpha 106.14
_cell_angle_beta 106.14
_cell_angle_gamma 90.00
_symmetry_space_group_name_H-M 'P 1'
_symmetry_Int_Tables_number 1
loop_
_symmetry_equiv_pos_as_xyz
'x,y,z'
loop_
_atom_site_label
_atom_site_fract_x
_atom_site_fract_y
_atom_site_fract_z
H1 0.255 0.755 0.510
H2 0.755 0.255 0.510
Rh1 0.149 0.149 0.298
Ni1 0.850 0.850 0.699
Zn1 0.492 0.492 0.983



# ZnNi2HRh PBE relaxed
# - relative energy among the computed polymorphs (eV/atom) = 0.125
data_ZnNi2HRh
_cell_length_a 3.590
_cell_length_b 3.590
_cell_length_c 4.047
_cell_angle_alpha 90.00
_cell_angle_beta 90.00
_cell_angle_gamma 90.00
_symmetry_space_group_name_H-M 'P 1'
_symmetry_Int_Tables_number 1
loop_
_symmetry_equiv_pos_as_xyz
'x,y,z'
loop_
_atom_site_label
_atom_site_fract_x
_atom_site_fract_y
_atom_site_fract_z
Rh1 0.500 0.500 0.500
Ni1 0.000 0.500 0.000
Ni2 0.500 0.000 0.000
Zn1 0.000 0.000 0.500
H1 0.000 0.000 0.000



# Zn2NiHRh PBE relaxed
# - relative energy among the computed polymorphs (eV/atom) = 0.041
data_Zn2NiHRh
_cell_length_a 4.081
_cell_length_b 4.081
_cell_length_c 3.393
_cell_angle_alpha 90.00
_cell_angle_beta 90.00
_cell_angle_gamma 90.00
_symmetry_space_group_name_H-M 'P 1'
_symmetry_Int_Tables_number 1
loop_
_symmetry_equiv_pos_as_xyz
'x,y,z'
loop_
_atom_site_label
_atom_site_fract_x
_atom_site_fract_y
_atom_site_fract_z
H1 0.000 0.000 0.000
Rh1 0.000 0.000 0.500
Zn1 0.500 0.000 0.000
Zn2 0.000 0.500 0.000
Ni1 0.500 0.500 0.500



# Zn2NiHRh PBE relaxed
# - relative energy among the computed polymorphs (eV/atom) = 0.000
data_Zn2NiHRh
_cell_length_a 4.167
_cell_length_b 4.167
_cell_length_c 3.194
_cell_angle_alpha 90.00
_cell_angle_beta 90.00
_cell_angle_gamma 90.00
_symmetry_space_group_name_H-M 'P 1'
_symmetry_Int_Tables_number 1
loop_
_symmetry_equiv_pos_as_xyz
'x,y,z'
loop_
_atom_site_label
_atom_site_fract_x
_atom_site_fract_y
_atom_site_fract_z
Ni1 0.000 0.000 0.500
Zn1 0.500 0.000 0.000
Zn2 0.000 0.500 0.000
Rh1 0.500 0.500 0.500
H1 0.000 0.000 0.000



# Zn2Ni2H5Rh2 PBE relaxed
# - E_tot (eV/atom) = -4.0887
data_Zn2Ni2H5Rh2
_cell_length_a 3.067
_cell_length_b 3.067
_cell_length_c 11.346
_cell_angle_alpha 97.77
_cell_angle_beta 97.77
_cell_angle_gamma 90.00
_symmetry_space_group_name_H-M 'P 1'
_symmetry_Int_Tables_number 1
loop_
_symmetry_equiv_pos_as_xyz
'x,y,z'
loop_
_atom_site_label
_atom_site_fract_x
_atom_site_fract_y
_atom_site_fract_z
H1 0.000 0.000 0.000
H2 0.612 0.112 0.224
H3 0.388 0.888 0.776
H4 0.888 0.388 0.776
H5 0.112 0.612 0.224
Ni1 0.343 0.343 0.687
Ni2 0.657 0.657 0.313
Rh1 0.925 0.925 0.851
Rh2 0.075 0.075 0.149
Zn1 0.215 0.215 0.431
Zn2 0.785 0.785 0.569



Values of D(E_F), in order: 0.423, 1.057, 0.150, 0.200, 1.022, 0.315, 0.064, 1.113, 0.240, 0.532, 0.863, 0.922, 0.936, 0.799, 0.975, 1.415, 0.422, 0.506, 1.306, 0.894, 1.186, 0.099, 0.245, 0.938, 0.341, 0.414, 0.280, all in states/eV per atom.